1) The following is a DFT calculation (PBE) of Pr4Ga after structural relaxation.

Cell and atoms, written as CIF:
```
data_Pr4Ga
_space_group_name_H-M_alt 'P 1'
_space_group_IT_number 1
_cell_length_a 7.709
_cell_length_b 7.709
_cell_length_c 7.709
_cell_angle_alpha 105.48
_cell_angle_beta 105.48
_cell_angle_gamma 117.78
loop_
_space_group_symop_operation_xyz
'x,y,z'
loop_
_atom_site_label
_atom_site_type_symbol
_atom_site_fract_x
_atom_site_fract_y
_atom_site_fract_z
Pr1 Pr 0.721 0.411 0.311
Pr2 Pr 0.100 0.411 0.689
Pr3 Pr 0.161 0.350 0.189
Pr4 Pr 0.161 0.971 0.811
Pr5 Pr 0.650 0.839 0.811
Pr6 Pr 0.029 0.839 0.189
Pr7 Pr 0.589 0.900 0.311
Pr8 Pr 0.589 0.279 0.689
Ga1 Ga 0.500 0.500 0.000
Ga2 Ga 0.250 0.750 0.500
```

M_tot = 0.000 μB per cell


2) The following is a DFT calculation (PBE) of Pr4Ga after structural relaxation.

Cell and atoms, written as CIF:
```
data_Pr4Ga
_space_group_name_H-M_alt 'P 1'
_space_group_IT_number 1
_cell_length_a 5.750
_cell_length_b 5.750
_cell_length_c 5.750
_cell_angle_alpha 90.00
_cell_angle_beta 90.00
_cell_angle_gamma 90.00
loop_
_space_group_symop_operation_xyz
'x,y,z'
loop_
_atom_site_label
_atom_site_type_symbol
_atom_site_fract_x
_atom_site_fract_y
_atom_site_fract_z
Pr1 Pr 0.000 0.000 0.000
Pr2 Pr 0.500 0.000 0.500
Pr3 Pr 0.000 0.500 0.500
Pr4 Pr 0.500 0.500 0.000
Ga1 Ga 0.500 0.500 0.500
```

M_tot = 0.004 μB per cell


Stability verdict: 1), ahead by 0.172 eV/atom